1.
Hf12As6C PBE-GGA optimized geometry; final energy = -8.8153 eV per atom; energy of formation = -575 meV per atom; Fermi-level density of states = 0.773 states/eV/atom
1.0
5.638 3.255 3.503
-5.638 3.255 3.503
0.000 -6.510 3.503
Hf As C
12 6 1
direct
0.003 0.307 0.075
0.075 0.003 0.307
0.184 0.420 0.551
0.307 0.075 0.003
0.420 0.551 0.184
0.449 0.816 0.580
0.551 0.184 0.420
0.580 0.449 0.816
0.693 0.925 0.997
0.816 0.580 0.449
0.925 0.997 0.693
0.997 0.693 0.925
0.124 0.653 0.303
0.303 0.124 0.653
0.347 0.697 0.876
0.653 0.303 0.124
0.697 0.876 0.347
0.876 0.347 0.697
0.000 0.000 0.000


2.
InCo2Pt2 PBE-GGA optimized geometry; final energy = -5.7828 eV per atom; energy of formation = 24 meV per atom; polymorph energy (0 for the lowest one) = 0.0237 eV/atom; Fermi-level density of states = 1.318 states/eV/atom
1.0
7.417 0.000 0.000
0.000 7.417 0.000
0.000 0.000 2.813
In Co Pt
2 4 4
direct
0.000 0.000 0.000
0.500 0.500 0.000
0.165 0.335 0.500
0.335 0.835 0.500
0.665 0.165 0.500
0.835 0.665 0.500
0.132 0.632 0.000
0.368 0.132 0.000
0.632 0.868 0.000
0.868 0.368 0.000


3.
CePRu PBE-GGA optimized geometry; final energy = -7.7612 eV per atom; energy of formation = -888 meV per atom; Fermi-level density of states = 1.270 states/eV/atom
1.0
5.133 -2.026 0.000
5.133 2.026 0.000
-4.014 0.000 5.440
Ce P Ru
2 2 2
direct
0.048 0.048 0.312
0.952 0.952 0.688
0.301 0.301 0.263
0.699 0.699 0.737
0.322 0.322 0.931
0.678 0.678 0.069


4.
NdGdMgIn PBE-GGA optimized geometry; final energy = -6.1265 eV per atom; energy of formation = -331 meV per atom; Fermi-level density of states = 1.220 states/eV/atom
1.0
0.000 3.832 3.832
3.832 0.000 3.832
3.832 3.832 0.000
Nd Gd Mg In
1 1 1 1
direct
0.000 0.000 0.000
0.500 0.500 0.500
0.250 0.250 0.250
0.750 0.750 0.750


5.
B5C7 PBE-GGA optimized geometry; final energy = -7.9049 eV per atom; energy of formation = 258 meV per atom; polymorph energy (0 for the lowest one) = 0.0000 eV/atom; Fermi-level density of states = 0.191 states/eV/atom
1.0
2.629 0.000 0.000
-1.315 2.277 0.000
0.000 0.000 14.602
B C
5 7
direct
0.000 0.000 0.000
0.000 0.000 0.254
0.333 0.667 0.370
0.667 0.333 0.441
0.667 0.333 0.875
0.000 0.000 0.584
0.000 0.000 0.690
0.333 0.667 0.263
0.333 0.667 0.726
0.333 0.667 0.829
0.667 0.333 0.548
0.667 0.333 0.989


6.
CaAg2Rh PBE-GGA optimized geometry; final energy = -3.8247 eV per atom; energy of formation = -61 meV per atom; polymorph energy (0 for the lowest one) = 0.0905 eV/atom; Fermi-level density of states = 0.271 states/eV/atom
1.0
3.508 0.000 0.000
0.000 3.508 0.000
0.000 0.000 6.329
Ca Ag Rh
1 2 1
direct
0.000 0.000 0.000
0.000 0.000 0.474
0.500 0.500 0.697
0.500 0.500 0.243


7.
BaHgBiF PBE-GGA optimized geometry; final energy = -3.6237 eV per atom; Fermi-level density of states = 0.162 states/eV/atom; ΔE_f (raw) = -6.52 eV/f.u.
1.0
4.837 0.000 0.000
0.000 4.837 0.000
0.000 0.000 9.571
Ba Hg Bi F
2 2 2 2
direct
0.250 0.250 0.139
0.750 0.750 0.861
0.250 0.750 0.500
0.750 0.250 0.500
0.250 0.250 0.695
0.750 0.750 0.305
0.250 0.750 0.000
0.750 0.250 0.000


8.
Sm2RhI PBE-GGA optimized geometry; final energy = -5.5223 eV per atom; polymorph energy (0 for the lowest one) = 0.0095 eV/atom; Fermi-level density of states = 0.097 states/eV/atom; ΔE_f (raw) = -3.75 eV/f.u.
1.0
2.067 1.193 8.093
-2.067 1.193 8.093
0.000 -2.387 8.093
Sm Rh I
2 1 1
direct
0.000 0.000 0.000
0.211 0.211 0.211
0.605 0.605 0.605
0.774 0.774 0.774


9.
NaCd6In PBE-GGA optimized geometry; final energy = -1.1609 eV per atom; energy of formation = 33 meV per atom; polymorph energy (0 for the lowest one) = 0.0477 eV/atom; Fermi-level density of states = 0.426 states/eV/atom
1.0
5.804 0.000 0.000
0.000 5.804 0.000
0.000 0.000 5.804
Na Cd In
1 6 1
direct
0.000 0.000 0.000
0.000 0.246 0.500
0.000 0.754 0.500
0.246 0.500 0.000
0.500 0.000 0.246
0.500 0.000 0.754
0.754 0.500 0.000
0.500 0.500 0.500


10.
Na4Rh PBE-GGA optimized geometry; final energy = -2.1301 eV per atom; energy of formation = 395 meV per atom; Fermi-level density of states = 0.421 states/eV/atom
1.0
5.457 0.000 0.000
0.000 5.457 0.000
0.000 0.000 5.457
Na Rh
4 1
direct
0.000 0.000 0.000
0.000 0.500 0.500
0.500 0.000 0.500
0.500 0.500 0.000
0.500 0.500 0.500